A relaxed CdHg2HRh crystal. Source: Alexandria via LeMat-Bulk, functional PBE.

Properties
As for the space-group type: No. 123. The calculated total energy is -2.265 eV/atom.

a = 4.9392 Å, b = 4.9392 Å, c = 3.4056 Å
α = 90.00°, β = 90.00°, γ = 90.00°
Fractional coordinates of all 5 atoms:
Hg 0.5000 0.0000 0.0000
Cd 0.5000 0.5000 0.5000
Rh 0.0000 0.0000 0.5000
H 0.0000 0.0000 0.0000
Hg 0.0000 0.5000 0.0000